Density functional theory data (PBE-GGA) for an optimized crystal structure of KTiIn.

Output
The value obtained for the distance to the lowest polymorph of the same formula is 1.89 eV/f.u.

a b c (Å): 5.3961 5.3961 3.1871
angles (deg): 90.00 90.00 120.00
Last column: nearest neighbours and their distance in Å.
Space group P-6m2 (No. 187)
Asymmetric unit:
K 0.0000 0.0000 0.0000 x1  2 K 3.19, 6 In 3.50, 6 Ti 3.50
Ti 0.6667 0.3333 0.5000 x1  3 In 3.12, 2 Ti 3.19
In 0.3333 0.6667 0.5000 x1  3 Ti 3.12, 2 In 3.19